The following is a DFT calculation (meta-GGA SCAN) of TaIn2Pt at its PBEsol-relaxed geometry.

**E_form**: -0.267 eV/f.u.
**Energy above the lowest structure with this stoichiometry**: 0.00 eV/f.u.

Unit cell a=3.0370 b=3.9925 c=6.1023 alpha=90.00 beta=90.00 gamma=90.00
Atoms (fractional coordinates):
Pt 0.0000 0.0000 0.5138
In 0.0000 0.0000 0.9849
In 0.5000 0.5000 0.2642
Ta 0.5000 0.5000 0.7371

---

The following is a DFT calculation (meta-GGA SCAN) of Zr2TaP at its PBEsol-relaxed geometry.

**E_form**: -1.719 eV/f.u.

Unit cell a=3.3330 b=3.3330 c=8.2952 alpha=78.41 beta=78.41 gamma=60.00
Atoms (fractional coordinates):
Zr 0.9966 0.9966 0.0103
Ta 0.2330 0.2330 0.3011
Zr 0.7668 0.7668 0.6997
P 0.5037 0.5037 0.4889

---

The following is a DFT calculation (meta-GGA SCAN) of CuAgPt2 at its PBEsol-relaxed geometry.

**E_form**: 0.347 eV/f.u.
**Energy above the lowest structure with this stoichiometry**: 0.84 eV/f.u.

Unit cell a=4.3667 b=4.3667 c=4.3667 alpha=60.00 beta=60.00 gamma=60.00
Atoms (fractional coordinates):
Pt 0.0000 0.0000 0.0000
Ag 0.5000 0.5000 0.5000
Cu 0.2500 0.2500 0.2500
Pt 0.7500 0.7500 0.7500

---

no.,M_tot (μB/f.u.),electronic total energy (eV for the cell shown)
1,0.00,-203.82
2,0.00,-140.10
3,0.00,-186.61